The following is a PBE-GGA calculation of an optimized crystal structure of ScBe2TeRu, from Alexandria via LeMat-Bulk.

Lattice parameters (Å, degrees): 4.5811 4.5811 5.2031 90.00 90.00 90.00
Fractional positions:
Sc 0.0000 0.0000 0.0000
Be 0.0000 0.5000 0.0000
Be 0.5000 0.0000 0.0000
Te 0.0000 0.0000 0.5000
Ru 0.5000 0.5000 0.5000

Summary:
The calculation puts the total energy at -3.600 eV/atom. Its formation energy (no corrections) is 1.640 eV/atom.